A plane-wave DFT calculation with PBE was carried out for crystalline UAgBi2S6 at its relaxed geometry.

a b c (Å): 7.359 7.359 7.359
angles (deg): 56.75 56.75 56.75
Fractional coordinates of all 10 atoms:
U 0.000 0.000 0.000
Ag 0.525 0.525 0.525
Bi 0.315 0.315 0.315
Bi 0.805 0.805 0.805
S 0.118 0.739 0.371
S 0.211 0.623 0.896
S 0.371 0.118 0.739
S 0.623 0.896 0.211
S 0.739 0.371 0.118
S 0.896 0.211 0.623

E, eV/cell: -52.70
D(E_F), states/eV/f.u.: 0.462

---

A plane-wave DFT calculation with PBE was carried out for crystalline VAgBi2S at its relaxed geometry.

a b c (Å): 5.446 5.446 4.301
angles (deg): 90.00 90.00 90.00
Fractional coordinates of all 5 atoms:
V 0.000 0.000 0.000
Ag 0.500 0.500 0.500
Bi 0.000 0.500 0.000
Bi 0.500 0.000 0.000
S 0.000 0.000 0.500

E, eV/cell: -22.85
D(E_F), states/eV/f.u.: 3.544

---

A plane-wave DFT calculation with PBE was carried out for crystalline Zn2AgBiS at its relaxed geometry.

a b c (Å): 4.793 4.793 5.647
angles (deg): 90.00 90.00 90.00
Fractional coordinates of all 5 atoms:
Zn 0.000 0.500 0.000
Zn 0.500 0.000 0.000
Ag 0.000 0.000 0.000
Bi 0.000 0.000 0.500
S 0.500 0.500 0.500

E, eV/cell: -11.20
D(E_F), states/eV/f.u.: 2.440

---

A plane-wave DFT calculation with PBE was carried out for crystalline ZrAgBiS4 at its relaxed geometry.

a b c (Å): 7.912 7.912 7.912
angles (deg): 122.01 119.48 88.73
Fractional coordinates of all 14 atoms:
Zr 0.500 0.000 0.000
Zr 0.500 0.500 0.500
Ag 0.119 0.369 0.750
Ag 0.881 0.631 0.250
Bi 0.000 0.000 0.000
Bi 0.500 0.000 0.500
S 0.273 0.276 0.504
S 0.273 0.769 0.996
S 0.274 0.248 0.026
S 0.278 0.752 0.526
S 0.722 0.248 0.474
S 0.726 0.752 0.974
S 0.727 0.231 0.004
S 0.727 0.724 0.496

E, eV/cell: -74.93

---

A plane-wave DFT calculation with PBE was carried out for crystalline ZrAg3Bi3S8 at its relaxed geometry.

a b c (Å): 7.864 7.864 7.881
angles (deg): 118.82 118.82 61.27
Fractional coordinates of all 15 atoms:
Zr 0.000 0.000 0.000
Ag 0.000 0.000 0.500
Ag 0.000 0.500 0.000
Ag 0.500 0.000 0.000
Bi 0.000 0.500 0.500
Bi 0.500 0.000 0.500
Bi 0.500 0.500 0.000
S 0.230 0.767 0.232
S 0.233 0.233 0.231
S 0.233 0.770 0.768
S 0.245 0.245 0.753
S 0.755 0.755 0.247
S 0.767 0.230 0.232
S 0.767 0.767 0.769
S 0.770 0.233 0.768

E, eV/cell: -68.90

---

A plane-wave DFT calculation with PBE was carried out for crystalline AgBiSb at its relaxed geometry.

a b c (Å): 6.420 6.420 9.075
angles (deg): 90.00 90.00 90.00
Fractional coordinates of all 12 atoms:
Ag 0.068 0.068 0.000
Ag 0.432 0.568 0.250
Ag 0.568 0.432 0.750
Ag 0.932 0.932 0.500
Bi 0.244 0.756 0.750
Bi 0.256 0.256 0.500
Bi 0.744 0.744 0.000
Bi 0.756 0.244 0.250
Sb 0.139 0.861 0.250
Sb 0.361 0.361 0.000
Sb 0.639 0.639 0.500
Sb 0.861 0.139 0.750

E above lowest polymorph, meV/atom: 240
E, eV/cell: -39.32
D(E_F), states/eV/f.u.: 2.102

---

A plane-wave DFT calculation with PBE was carried out for crystalline AgBiSb at its relaxed geometry.

a b c (Å): 5.521 5.521 5.521
angles (deg): 134.61 134.61 66.14
Fractional coordinates of all 3 atoms:
Ag 0.000 0.000 0.000
Bi 0.317 0.317 0.000
Sb 0.694 0.694 0.000

E above lowest polymorph, meV/atom: 105
E, eV/cell: -10.23
D(E_F), states/eV/f.u.: 1.304

---

A plane-wave DFT calculation with PBE was carried out for crystalline AgBi2Sb2 at its relaxed geometry.

a b c (Å): 8.255 8.255 4.350
angles (deg): 90.00 90.00 90.00
Fractional coordinates of all 10 atoms:
Ag 0.000 0.000 0.000
Ag 0.500 0.500 0.000
Bi 0.150 0.350 0.500
Bi 0.350 0.850 0.500
Bi 0.650 0.150 0.500
Bi 0.850 0.650 0.500
Sb 0.164 0.664 0.000
Sb 0.336 0.164 0.000
Sb 0.664 0.836 0.000
Sb 0.836 0.336 0.000

E above lowest polymorph, meV/atom: 0
E, eV/cell: -35.31
D(E_F), states/eV/f.u.: 3.213

---

A plane-wave DFT calculation with PBE was carried out for crystalline AgBiSb3 at its relaxed geometry.

a b c (Å): 5.376 5.376 5.376
angles (deg): 90.00 90.00 90.00
Fractional coordinates of all 5 atoms:
Ag 0.000 0.000 0.000
Bi 0.500 0.500 0.500
Sb 0.000 0.000 0.500
Sb 0.000 0.500 0.000
Sb 0.500 0.000 0.000

E above lowest polymorph, meV/atom: 0
E, eV/cell: -16.21
D(E_F), states/eV/f.u.: 4.933

---

A plane-wave DFT calculation with PBE was carried out for crystalline Ag2BiSb2 at its relaxed geometry.

a b c (Å): 8.378 8.378 8.378
angles (deg): 152.09 152.09 39.88
Fractional coordinates of all 5 atoms:
Ag 0.250 0.750 0.500
Ag 0.750 0.250 0.500
Bi 0.000 0.000 0.000
Sb 0.388 0.388 0.000
Sb 0.612 0.612 0.000

E above lowest polymorph, meV/atom: 32
E, eV/cell: -17.00
D(E_F), states/eV/f.u.: 2.277

---

A plane-wave DFT calculation with PBE was carried out for crystalline Ag2BiSb at its relaxed geometry.

a b c (Å): 8.971 8.971 8.971
angles (deg): 23.13 23.13 23.13
Fractional coordinates of all 4 atoms:
Ag 0.246 0.246 0.246
Ag 0.754 0.754 0.754
Bi 0.000 0.000 0.000
Sb 0.500 0.500 0.500

E, eV/cell: -13.15
D(E_F), states/eV/f.u.: 2.051

---

A plane-wave DFT calculation with PBE was carried out for crystalline Ag2BiSb at its relaxed geometry.

a b c (Å): 4.451 4.451 6.724
angles (deg): 109.78 109.78 58.97
Fractional coordinates of all 4 atoms:
Ag 0.000 0.000 0.000
Ag 0.159 0.159 0.464
Bi 0.580 0.580 0.730
Sb 0.749 0.749 0.231

E, eV/cell: -13.20
D(E_F), states/eV/f.u.: 1.738